A geometry-optimized PuThBi6 structure, computed with GGA-PBE.

Unit cell a=4.6900 b=4.6110 c=12.0541 alpha=90.00 beta=101.22 gamma=90.00
Last column: magnetic moment on the atom in μB.
Fractional coordinates of all 8 atoms:
Bi 0.3143 0.5000 0.6286  -0.06
Bi 0.0642 0.0000 0.1285  0.03
Bi 0.5632 0.5000 0.1264  0.02
Bi 0.9330 0.5000 0.8661  0.02
Bi 0.4340 0.0000 0.8680  0.06
Bi 0.6918 0.0000 0.3836  -0.01
Pu 0.8261 0.0000 0.6523  5.36
Th 0.1733 0.5000 0.3466  0.00

The space-group type is Amm2 (38). The value obtained for the formation energy is -21.3 kJ/mol of atoms.

=====

A geometry-optimized Si2TcSe structure, computed with GGA-PBE.

Unit cell a=4.5209 b=4.5209 c=4.7749 alpha=84.67 beta=84.67 gamma=41.04
Fractional coordinates of all 4 atoms:
Si 0.4745 0.4745 0.5572
Si 0.0255 0.0255 0.9428
Se 0.2500 0.2500 0.2500
Tc 0.7500 0.7500 0.7500

The space-group type is C2/m (12). As for the raw formation energy: 0.186 eV/atom.

=====

A geometry-optimized TlCuOs2 structure, computed with GGA-PBE.

Unit cell a=2.8767 b=2.8767 c=7.9126 alpha=90.00 beta=90.00 gamma=90.00
Fractional coordinates of all 4 atoms:
Cu 0.5000 0.5000 0.7784
Os 0.5000 0.5000 0.2110
Os 0.0000 0.0000 0.0080
Tl 0.0000 0.0000 0.5025

The space-group type is P4mm (99). The value obtained for the formation energy is 48.6 kJ/mol of atoms.